# Li2MgPdAu

Crystalline Li2MgPdAu at its relaxed geometry (PBE, Alexandria).

Lattice parameters (Å, degrees): 7.2279 7.2279 5.6775 90.00 90.00 148.45
Fractional coordinates of all 10 atoms:
Li: 0.2004 0.7996 0.5072
Li: 0.2004 0.7996 0.9928
Li: 0.7996 0.2004 0.0072
Li: 0.7996 0.2004 0.4928
Mg: 0.0000 0.0000 0.0000
Mg: 0.0000 0.0000 0.5000
Pd: 0.3939 0.6061 0.2500
Pd: 0.6061 0.3939 0.7500
Au: 0.3850 0.6150 0.7500
Au: 0.6150 0.3850 0.2500

As for the density of states at the Fermi level: 0.264 states/eV/atom. As for the electronic total energy: -32.779 eV for the cell shown. The calculation puts the total magnetization at 0.00 μB/atom. The formation enthalpy at 0 K is -499 meV per atom. Its symmetry is Cmcm (63).